Entry 1:
The following is a GGA-PBE calculation of a relaxed CsZn2Ge2Au6 crystal, from Alexandria.

Unit cell a=6.7796 b=6.8567 c=6.9733 alpha=81.39 beta=60.92 gamma=89.79
With the nearest neighbours (Å) after each atom.
Space group P-1 (No. 2)
Symmetry-distinct sites (fractional):
Cs1 0.0000 0.0000 0.0000  12 Au 3.67-4.04, 6 Zn 3.81-4.11
Zn1 0.3151 0.0427 0.3679  1 Ge 2.63, 6 Au 2.68-2.75
Ge1 0.3719 0.4299 0.2529  4 Au 2.53-2.71, 1 Zn 2.63
Au1 0.0339 0.7151 0.5190  1 Ge 2.53, 2 Zn 2.68-2.74, 1 Au 2.82
Au2 0.4495 0.7158 0.5193  1 Ge 2.53, 2 Zn 2.68-2.75, 1 Au 2.82
Au3 0.4643 0.7947 0.0724  2 Ge 2.56-2.71, 2 Zn 2.68-2.73, 1 Au 2.80

Formation energy (eV/atom): -0.146
Total magnetic moment (μB per formula unit): 0.00
Density of states at the Fermi level (states/eV per cell): 2.90

***

Entry 2:
The following is a GGA-PBE calculation of a relaxed Cs3HAu crystal, from Alexandria.

Unit cell a=8.5250 b=8.5250 c=8.0636 alpha=90.00 beta=90.00 gamma=120.00
With the nearest neighbours (Å) after each atom.
Space group P6_322 (No. 182)
Symmetry-distinct sites (fractional):
Cs1 0.0000 0.2941 0.0000  2 H 3.22
H1 0.0000 0.0000 0.2500  6 Cs 3.22
Au1 0.3333 0.6667 0.7500  6 Cs 3.63

Polymorph energy (0 for the lowest one) (kJ per mole of atoms): 0.0
Total magnetic moment (μB per formula unit): 0.82
Density of states at the Fermi level (states/eV per cell): 6.23

***

Entry 3:
The following is a GGA-PBE calculation of a relaxed Cs6HAu4 crystal, from Alexandria.

Unit cell a=9.3293 b=9.3293 c=10.7601 alpha=90.00 beta=90.00 gamma=90.00
With the nearest neighbours (Å) after each atom.
Space group P4/mnc (No. 128)
Symmetry-distinct sites (fractional):
Cs1 0.0000 0.0000 0.2320  1 H 2.88
Cs2 0.1432 0.3104 0.5000  1 H 3.19
H1 0.0000 0.0000 0.5000  6 Cs 2.88-3.19
Au1 0.1125 0.6125 0.2500  1 Au 2.97

DFT total energy (eV per cell): -49.2
Total magnetic moment (μB per formula unit): 0.00
Density of states at the Fermi level (states/eV per cell): 9.61

***

Entry 4:
The following is a GGA-PBE calculation of a relaxed Cs8H2Au crystal, from Alexandria.

Unit cell a=15.2574 b=13.3106 c=8.4369 alpha=90.00 beta=93.09 gamma=90.00
With the nearest neighbours (Å) after each atom.
Space group C2/m (No. 12)
Symmetry-distinct sites (fractional):
Cs1 0.1098 0.0000 0.2590  1 H 2.91
Cs2 0.1162 0.3207 0.7678  1 H 2.97
Cs3 0.1876 0.5000 0.2925  1 H 2.94
H1 0.2046 0.5000 0.6410  4 Cs 2.91-2.97
Au1 0.0000 0.5000 0.0000  6 Cs 3.61-3.68

DFT total energy (eV per cell): -35.5
Total magnetic moment (μB per formula unit): 0.00
Density of states at the Fermi level (states/eV per cell): 16.25